i:
## TaCuPt4 (PBE-GGA)

Data for a relaxed structure of TaCuPt4.

```
6
Lattice="0.0000 3.6782 3.6782 3.6782 0.0000 3.6782 3.6782 3.6782 0.0000" Properties=species:S:1:pos:R:3 pbc="T T T"
Pt 2.7570 2.7570 4.5993
Pt 4.5993 2.7570 2.7570
Pt 4.5993 4.5993 4.5993
Pt 2.7570 4.5993 2.7570
Ta 1.8391 1.8391 1.8391
Cu 0.0000 0.0000 0.0000
```

Total moment, Bohr magnetons per cell: 0.00
N(E_F), states/eV/atom: 0.661

---

ii:
## TaCuPt4 (PBE-GGA)

Data for a relaxed structure of TaCuPt4.

```
12
Lattice="6.8194 0.0636 0.0000 -0.0522 5.5943 0.0000 0.0000 0.0000 5.5575" Properties=species:S:1:pos:R:3 pbc="T T T"
Cu 3.3966 1.4304 1.1744
Cu 3.3705 4.2275 4.3831
Pt 4.8864 5.6399 2.7785
Pt 1.5655 2.8117 5.5574
Pt 1.5393 5.6088 0.0001
Pt 1.8808 0.0180 2.7790
Pt 5.2278 0.0491 5.5574
Pt 5.2017 2.8462 0.0001
Pt 1.8547 2.8152 2.7785
Pt 4.9125 2.8427 2.7790
Ta -0.0131 1.3986 3.9634
Ta -0.0392 4.1957 1.5940
```

Total moment, Bohr magnetons per cell: 0.00
N(E_F), states/eV/atom: 0.518

---

Result of the stability comparison: ii is the most stable of them.

---

i:
## Tb4Cu2Pt (PBE-GGA)

Data for a relaxed structure of Tb4Cu2Pt.

```
14
Lattice="7.4674 -0.8060 -0.5725 -1.3378 7.5072 -0.3258 -3.3612 -3.9128 6.6679" Properties=species:S:1:pos:R:3 pbc="T T T"
Pt -3.2318 -3.7162 6.5137
Pt -0.5049 3.6298 2.7752
Cu 0.7064 -0.4754 4.1641
Cu 3.6225 0.6336 0.7455
Cu 4.4598 -2.0591 2.1266
Cu -1.9255 0.0348 5.1051
Tb 1.5119 2.7065 1.1079
Tb 0.3734 5.9775 1.0274
Tb -1.0854 -2.6737 4.7362
Tb 3.2758 0.8710 3.6842
Tb -1.1896 0.8515 2.3068
Tb 2.9632 -2.4609 4.5609
Tb 0.0330 2.1469 5.3090
Tb 4.7613 3.3164 0.3945
```

Total moment, Bohr magnetons per cell: 0.00
N(E_F), states/eV/atom: 0.799

---

ii:
## Tb4Cu2Pt (PBE-GGA)

Data for a relaxed structure of Tb4Cu2Pt.

```
7
Lattice="4.6835 0.0000 1.4632 2.1132 4.1797 1.4632 -0.0931 -0.0573 8.5251" Properties=species:S:1:pos:R:3 pbc="T T T"
Tb 0.7932 0.4878 5.6880
Tb 2.4712 1.5197 8.5444
Tb 4.2323 2.6027 2.9072
Tb 5.9103 3.6346 5.7636
Cu 5.0497 3.1053 8.5182
Cu 1.6538 1.0170 2.9334
Pt 0.0000 0.0000 0.0000
```

Total moment, Bohr magnetons per cell: 0.00
N(E_F), states/eV/atom: 1.080

---

Result of the stability comparison: i is the most stable of them.

---

i:
## TbCuPt (PBE-GGA)

Data for a relaxed structure of TbCuPt.

```
3
Lattice="-1.3217 -2.5281 -2.2120 3.0746 -1.8678 0.2976 -2.5113 0.0530 4.3855" Properties=species:S:1:pos:R:3 pbc="T T T"
Tb 0.5116 -2.6767 -0.1920
Pt -0.5932 -4.1262 2.1248
Cu -0.9447 -1.2394 1.9810
```

Total moment, Bohr magnetons per cell: 0.00
N(E_F), states/eV/atom: 0.471

---

ii:
## TbCuPt (PBE-GGA)

Data for a relaxed structure of TbCuPt.

```
6
Lattice="3.9109 0.0000 -0.0353 0.0000 4.4638 0.0000 -1.8951 0.0000 6.5200" Properties=species:S:1:pos:R:3 pbc="T T T"
Cu 1.9671 1.1160 1.2428
Cu 0.0488 3.3479 5.2419
Tb 2.0044 1.1160 5.2020
Tb 0.0114 3.3479 1.2827
Pt 1.9861 3.3479 3.3501
Pt 0.0297 1.1160 3.1346
```

Total moment, Bohr magnetons per cell: 0.00
N(E_F), states/eV/atom: 0.398

---

iii:
## TbCuPt (PBE-GGA)

Data for a relaxed structure of TbCuPt.

```
3
Lattice="-0.5931 3.5394 0.0812 -1.0847 -0.0851 -4.2130 -3.0535 -0.5815 3.0449" Properties=species:S:1:pos:R:3 pbc="T T T"
Cu -0.0989 0.5903 0.0135
Tb -2.1363 2.1091 -1.7396
Pt -2.4960 0.1735 0.6391
```

Total moment, Bohr magnetons per cell: 0.00
N(E_F), states/eV/atom: 0.542

---

Result of the stability comparison: iii is the most stable of them.

---

i:
## TbCuPt6 (PBE-GGA)

Data for a relaxed structure of TbCuPt6.

```
8
Lattice="3.8910 0.0000 0.0000 0.0000 3.8910 0.0000 0.0000 0.0000 9.6493" Properties=species:S:1:pos:R:3 pbc="T T T"
Tb 0.0000 0.0000 0.0000
Pt 1.9455 0.0000 6.5081
Pt 1.9455 1.9455 1.2569
Pt 0.0000 1.9455 6.5081
Pt 0.0000 1.9455 3.1411
Pt 1.9455 0.0000 3.1411
Pt 1.9455 1.9455 8.3924
Cu 0.0000 0.0000 4.8246
```

Total moment, Bohr magnetons per cell: 0.00
N(E_F), states/eV/atom: 1.399

---

ii:
## TbCuPt6 (PBE-GGA)

Data for a relaxed structure of TbCuPt6.

```
8
Lattice="-2.9121 0.4799 2.7580 2.7337 -0.3697 2.9508 1.1932 7.9036 -0.1153" Properties=species:S:1:pos:R:3 pbc="T T T"
Cu 0.5966 3.9518 -0.0577
Pt 1.6857 1.9269 1.4446
Pt -1.1372 2.3516 1.3482
Pt 0.5074 4.0069 2.7967
Pt -0.5817 6.0318 1.2945
Pt 2.2413 5.6071 1.3909
Pt -0.0892 0.0551 2.8544
Tb 0.0000 0.0000 0.0000
```

Total moment, Bohr magnetons per cell: 0.00
N(E_F), states/eV/atom: 1.322

---

Result of the stability comparison: ii is the most stable of them.